(1)
First-principles (PBE-GGA) data for a relaxed NaPuPdPt crystal, as listed in the Alexandria database.

**Volume**: 20.11 Å³ per atom
**ΔE_f**: -0.36 eV/atom

a = 4.8454 Å, b = 4.8454 Å, c = 4.8454 Å
α = 60.00°, β = 60.00°, γ = 60.00°
With the nearest neighbours (Å) after each atom.
Fractional coordinates of all 4 atoms:
Na: 0.2500 0.2500 0.2500  4 Pt 2.97, 4 Pd 2.97
Pd: 0.0000 0.0000 0.0000  4 Na 2.97, 4 Pu 2.97
Pt: 0.5000 0.5000 0.5000  4 Na 2.97, 4 Pu 2.97
Pu: 0.7500 0.7500 0.7500  4 Pd 2.97, 4 Pt 2.97


(2)
First-principles (PBE-GGA) data for a relaxed VSn2Cl crystal, as listed in the Alexandria database.

**Volume**: 24.75 Å³ per atom
**E above lowest polymorph**: 0.00 kcal/mol of atoms
**Formation energy (no corrections)**: 1.16 eV/f.u.

a = 4.0988 Å, b = 4.0988 Å, c = 12.1359 Å
α = 80.28°, β = 80.28°, γ = 90.00°
With the nearest neighbours (Å) after each atom.
Fractional coordinates of all 8 atoms:
V: 0.0000 0.0000 0.0000  4 Cl 2.90
V: 0.7500 0.2500 0.5000  4 Cl 2.90
Sn: 0.6340 0.1250 0.2500  4 Sn 2.85-2.95
Sn: 0.1160 0.6250 0.2500  4 Sn 2.85-2.95
Sn: 0.3750 0.3660 0.7500  4 Sn 2.85-2.95
Sn: 0.8750 0.8840 0.7500  4 Sn 2.85-2.95
Cl: 0.5000 0.5000 0.0000  4 V 2.90
Cl: 0.2500 0.7500 0.5000  4 V 2.90


(3)
First-principles (PBE-GGA) data for a relaxed NaCaFeHg2 crystal, as listed in the Alexandria database.

**Volume**: 36.05 Å³ per atom
**ΔE_f**: 0.67 eV/atom

a = 5.8474 Å, b = 5.2711 Å, c = 5.8474 Å
α = 90.00°, β = 90.00°, γ = 90.00°
With the nearest neighbours (Å) after each atom.
Fractional coordinates of all 5 atoms:
Na: 0.5000 0.5000 0.5000  8 Hg 3.94, 4 Fe 4.13
Ca: 0.0000 0.0000 0.0000  2 Fe 2.64, 4 Hg 2.92
Hg: 0.0000 0.0000 0.5000  2 Ca 2.92
Hg: 0.5000 0.0000 0.0000  2 Ca 2.92
Fe: 0.0000 0.5000 0.0000  2 Ca 2.64


(4)
First-principles (PBE-GGA) data for a relaxed Ga2SiPd2 crystal, as listed in the Alexandria database.

**Volume**: 15.89 Å³ per atom
**E above lowest polymorph**: 0.00 kcal/mol of atoms
**Formation energy (no corrections)**: -1.42 eV/f.u.

a = 7.4044 Å, b = 7.4044 Å, c = 2.8989 Å
α = 90.00°, β = 90.00°, γ = 90.00°
With the nearest neighbours (Å) after each atom.
Fractional coordinates of all 10 atoms:
Si: 0.0000 0.0000 0.0000  4 Pd 2.84, 2 Si 2.90, 8 Ga 3.16
Si: 0.5000 0.5000 0.0000  4 Pd 2.84, 2 Si 2.90, 8 Ga 3.16
Ga: 0.1538 0.6538 0.5000  6 Pd 2.55-2.65
Ga: 0.6538 0.8462 0.5000  6 Pd 2.55-2.65
Ga: 0.8462 0.3462 0.5000  6 Pd 2.55-2.65
Ga: 0.3462 0.1538 0.5000  6 Pd 2.55-2.65
Pd: 0.3545 0.8545 0.0000  6 Ga 2.55-2.65, 2 Si 2.84
Pd: 0.8545 0.6455 0.0000  6 Ga 2.55-2.65, 2 Si 2.84
Pd: 0.6455 0.1455 0.0000  6 Ga 2.55-2.65, 2 Si 2.84
Pd: 0.1455 0.3545 0.0000  6 Ga 2.55-2.65, 2 Si 2.84


(5)
First-principles (PBE-GGA) data for a relaxed Th2CoCl crystal, as listed in the Alexandria database.

**Volume**: 26.87 Å³ per atom
**E above lowest polymorph**: 0.25 kcal/mol of atoms
**Formation energy (no corrections)**: -3.16 eV/f.u.

a = 4.0870 Å, b = 4.0870 Å, c = 7.7959 Å
α = 74.80°, β = 74.80°, γ = 60.00°
With the nearest neighbours (Å) after each atom.
Fractional coordinates of all 4 atoms:
Co: 0.0000 0.0000 0.0000  6 Th 2.73
Th: 0.7279 0.7279 0.8162  3 Co 2.73
Th: 0.2721 0.2721 0.1838  3 Co 2.73
Cl: 0.5000 0.5000 0.5000  6 Th 3.33


(6)
First-principles (PBE-GGA) data for a relaxed BaMg6Al crystal, as listed in the Alexandria database.

**Volume**: 26.79 Å³ per atom
**E above lowest polymorph**: 0.31 kcal/mol of atoms
**ΔE_f**: 0.07 eV/atom

a = 6.6939 Å, b = 6.6939 Å, c = 5.0163 Å
α = 90.00°, β = 90.00°, γ = 107.52°
With the nearest neighbours (Å) after each atom.
Fractional coordinates of all 8 atoms:
Ba: 0.3813 0.6187 0.5000  10 Mg 3.38-3.68, 2 Al 3.40
Mg: 0.1021 0.2897 0.0000  7 Mg 3.10-3.42, 1 Al 3.23
Mg: 0.7103 0.8979 0.0000  7 Mg 3.10-3.42, 1 Al 3.23
Mg: 0.6308 0.3692 0.0000  10 Mg 3.16-3.51
Mg: 0.2919 0.0939 0.5000  2 Al 3.03, 4 Mg 3.05-3.33, 1 Ba 3.38
Mg: 0.9061 0.7081 0.5000  2 Al 3.03, 4 Mg 3.05-3.33, 1 Ba 3.38
Mg: 0.8095 0.1905 0.5000  10 Mg 3.13-3.48
Al: 0.1681 0.8319 0.0000  6 Mg 3.03-3.23